The following is a DFT calculation (GGA-PBE) of a relaxed KTc2Rh crystal.

Properties
* Fermi-level density of states: 6.2 states/eV/f.u.
* crystal system: monoclinic
* energy of formation from the pure elements: 113.9 kJ per mole of atoms
* space group: No. 12
* energy above the most stable polymorph in this dataset: 617 meV/atom

abc: 5.7358 5.7358 2.6151
angles: 98.00 98.00 123.56
Last column: nearest neighbours and their distance in Å.
Fractional positions:
1 K 0.0000 0.0000 0.0000  2 K 2.62, 2 Rh 2.71
2 Tc 0.0000 0.5000 0.5000  4 Tc 2.62-2.71
3 Tc 0.5000 0.0000 0.5000  4 Tc 2.62-2.71
4 Rh 0.5000 0.5000 0.0000  2 Rh 2.62, 2 K 2.71

The following is a DFT calculation (GGA-PBE) of a relaxed AcTbCeZn crystal.

Properties
* Fermi-level density of states: 10.5 states/eV/f.u.
* crystal system: cubic
* energy of formation from the pure elements: 19.8 kJ per mole of atoms
* space group: No. 216

abc: 5.5292 5.5292 5.5292
angles: 60.00 60.00 60.00
Last column: nearest neighbours and their distance in Å.
Fractional positions:
1 Ac 0.0000 0.0000 0.0000  4 Tb 3.39, 4 Ce 3.39
2 Tb 0.7500 0.7500 0.7500  4 Ac 3.39, 4 Zn 3.39
3 Ce 0.2500 0.2500 0.2500  4 Ac 3.39, 4 Zn 3.39
4 Zn 0.5000 0.5000 0.5000  4 Tb 3.39, 4 Ce 3.39

The following is a DFT calculation (GGA-PBE) of a relaxed KSeCl3 crystal.

Properties
* crystal system: triclinic
* space group: No. 2
* energy above the most stable polymorph in this dataset: 0 meV/atom

abc: 5.0285 8.5199 8.5320
angles: 103.89 104.34 105.42
Last column: nearest neighbours and their distance in Å.
Fractional positions:
1 K 0.0015 0.2793 0.2208  8 Cl 3.20-3.54
2 K 0.9985 0.7207 0.7792  8 Cl 3.20-3.54
3 Se 0.4248 0.1694 0.6687  2 Cl 2.34
4 Se 0.5752 0.8306 0.3313  2 Cl 2.34
5 Cl 0.3510 0.4287 0.6682  1 Se 2.34
6 Cl 0.3608 0.1725 0.9315  1 Se 2.34
7 Cl 0.4949 0.1302 0.3661  2 Se 2.65
8 Cl 0.5051 0.8698 0.6339  2 Se 2.65
9 Cl 0.6392 0.8275 0.0685  1 Se 2.34
10 Cl 0.6490 0.5713 0.3318  1 Se 2.34

The following is a DFT calculation (GGA-PBE) of a relaxed K6AlAu4 crystal.

Properties
* Fermi-level density of states: 9.1 states/eV/f.u.
* crystal system: hexagonal
* energy of formation from the pure elements: -24.1 kJ per mole of atoms
* space group: No. 186

abc: 10.7106 10.7106 8.0752
angles: 90.00 90.00 120.00
Last column: nearest neighbours and their distance in Å.
Fractional positions:
1 K 0.0574 0.5287 0.0000  5 Au 3.45-3.62, 1 Al 3.76
2 K 0.1351 0.2702 0.6816  4 Au 3.37-3.68
3 K 0.1351 0.8649 0.6816  4 Au 3.37-3.68
4 K 0.2702 0.1351 0.1816  4 Au 3.37-3.68
5 K 0.4713 0.5287 0.0000  5 Au 3.45-3.62, 1 Al 3.76
6 K 0.4713 0.9426 0.0000  5 Au 3.45-3.62, 1 Al 3.76
7 K 0.5287 0.0574 0.5000  5 Au 3.45-3.62, 1 Al 3.76
8 K 0.5287 0.4713 0.5000  5 Au 3.45-3.62, 1 Al 3.76
9 K 0.7298 0.8649 0.6816  4 Au 3.37-3.68
10 K 0.8649 0.1351 0.1816  4 Au 3.37-3.68
11 K 0.8649 0.7298 0.1816  4 Au 3.37-3.68
12 K 0.9426 0.4713 0.5000  5 Au 3.45-3.62, 1 Al 3.76
13 Al 0.3333 0.6667 0.3769  4 Au 2.54-2.55
14 Al 0.6667 0.3333 0.8769  4 Au 2.54-2.55
15 Au 0.2007 0.4015 0.2921  1 Al 2.55
16 Au 0.2007 0.7993 0.2921  1 Al 2.55
17 Au 0.3333 0.6667 0.6915  1 Al 2.54
18 Au 0.4015 0.2007 0.7921  1 Al 2.55
19 Au 0.5985 0.7993 0.2921  1 Al 2.55
20 Au 0.6667 0.3333 0.1915  1 Al 2.54
21 Au 0.7993 0.2007 0.7921  1 Al 2.55
22 Au 0.7993 0.5985 0.7921  1 Al 2.55

The following is a DFT calculation (GGA-PBE) of a relaxed ScIn2Cu crystal.

Properties
* Fermi-level density of states: 2.2 states/eV/f.u.
* crystal system: monoclinic
* energy of formation from the pure elements: -6.5 kJ per mole of atoms
* space group: No. 12

abc: 5.0886 5.0886 5.6561
angles: 106.22 106.22 36.96
Last column: nearest neighbours and their distance in Å.
Fractional positions:
1 Sc 0.0000 0.0000 0.0000  6 In 3.07-3.08, 2 Sc 3.23, 4 Cu 3.26
2 In 0.2295 0.2295 0.7233  2 Cu 2.73
3 In 0.7705 0.7705 0.2767  2 Cu 2.73
4 Cu 0.5000 0.5000 0.5000  4 In 2.73

The following is a DFT calculation (GGA-PBE) of a relaxed Mn3GaCu crystal.

Properties
* Fermi-level density of states: 6.8 states/eV/f.u.
* crystal system: cubic
* energy of formation from the pure elements: 212.0 kJ per mole of atoms
* space group: No. 221

abc: 6.2787 6.2787 6.2787
angles: 90.00 90.00 90.00
Last column: nearest neighbours and their distance in Å.
Fractional positions:
1 Mn 0.0000 0.0000 0.5000  2 Cu 3.14
2 Mn 0.0000 0.5000 0.0000  2 Cu 3.14
3 Mn 0.5000 0.0000 0.0000  2 Cu 3.14
4 Ga 0.5000 0.5000 0.5000  12 Mn 4.44
5 Cu 0.0000 0.0000 0.0000  6 Mn 3.14

The following is a DFT calculation (GGA-PBE) of a relaxed CePrBr2 crystal.

Properties
* Fermi-level density of states: 7.6 states/eV/f.u.
* crystal system: trigonal
* space group: No. 166
* energy above the most stable polymorph in this dataset: 73 meV/atom

abc: 10.5825 10.5825 10.5825
angles: 20.42 20.42 20.42
Last column: nearest neighbours and their distance in Å.
Fractional positions:
1 Ce 0.0000 0.0000 0.0000  6 Br 3.05
2 Pr 0.5000 0.5000 0.5000  2 Br 3.03
3 Br 0.4026 0.4026 0.4026  1 Pr 3.03, 3 Ce 3.05
4 Br 0.5974 0.5974 0.5974  1 Pr 3.03, 3 Ce 3.05

The following is a DFT calculation (GGA-PBE) of a relaxed GdLuInCu crystal.

Properties
* Fermi-level density of states: 2.8 states/eV/f.u.
* crystal system: cubic
* energy of formation from the pure elements: -29.5 kJ per mole of atoms
* space group: No. 216

abc: 5.1366 5.1366 5.1366
angles: 60.00 60.00 60.00
Last column: nearest neighbours and their distance in Å.
Fractional positions:
1 Gd 0.0000 0.0000 0.0000  4 In 3.15, 4 Cu 3.15
2 Lu 0.5000 0.5000 0.5000  4 In 3.15, 4 Cu 3.15
3 In 0.7500 0.7500 0.7500  4 Gd 3.15, 4 Lu 3.15
4 Cu 0.2500 0.2500 0.2500  4 Lu 3.15, 4 Gd 3.15

The following is a DFT calculation (GGA-PBE) of a relaxed Ir4RuRh crystal.

Properties
* Fermi-level density of states: 5.4 states/eV/f.u.
* crystal system: orthorhombic
* energy of formation from the pure elements: 0.2 kJ per mole of atoms
* space group: No. 36
* energy above the most stable polymorph in this dataset: 24 meV/atom

abc: 7.2284 7.2284 8.8873
angles: 90.00 90.00 158.19
Last column: nearest neighbours and their distance in Å.
Fractional positions:
1 Ir 0.0023 0.9977 0.5000  10 Ir 2.70-2.79, 2 Ru 2.71
2 Ir 0.1109 0.8891 0.2507  8 Ir 2.70-2.75, 2 Ru 2.71, 2 Rh 2.74
3 Ir 0.3314 0.6686 0.5014  3 Rh 2.70-2.73, 2 Ru 2.71, 7 Ir 2.73-2.79
4 Ir 0.4448 0.5552 0.2502  9 Ir 2.72-2.75, 2 Rh 2.73, 1 Ru 2.74
5 Ir 0.5552 0.4448 0.7502  9 Ir 2.72-2.75, 2 Rh 2.73, 1 Ru 2.74
6 Ir 0.6686 0.3314 0.0014  3 Rh 2.70-2.73, 2 Ru 2.71, 7 Ir 2.73-2.79
7 Ir 0.8891 0.1109 0.7507  8 Ir 2.70-2.75, 2 Ru 2.71, 2 Rh 2.74
8 Ir 0.9977 0.0023 0.0000  10 Ir 2.70-2.79, 2 Ru 2.71
9 Ru 0.3331 0.6669 0.9988  7 Ir 2.71-2.74, 3 Rh 2.72-2.73, 2 Ru 2.74
10 Ru 0.6669 0.3331 0.4988  7 Ir 2.71-2.74, 3 Rh 2.72-2.73, 2 Ru 2.74
11 Rh 0.2220 0.7780 0.7499  7 Ir 2.70-2.74, 3 Ru 2.72-2.73, 2 Rh 2.74
12 Rh 0.7780 0.2220 0.2499  7 Ir 2.70-2.74, 3 Ru 2.72-2.73, 2 Rh 2.74

The following is a DFT calculation (GGA-PBE) of a relaxed LiCrH2 crystal.

Properties
* Fermi-level density of states: 2.6 states/eV/f.u.
* crystal system: cubic
* space group: No. 225
* energy above the most stable polymorph in this dataset: 524 meV/atom

abc: 3.3147 3.3147 3.3147
angles: 60.00 60.00 60.00
Last column: nearest neighbours and their distance in Å.
Fractional positions:
1 Li 0.0000 0.0000 0.0000  8 H 2.03
2 Cr 0.5000 0.5000 0.5000  8 H 2.03
3 H 0.2500 0.2500 0.2500  4 Cr 2.03, 4 Li 2.03
4 H 0.7500 0.7500 0.7500  4 Cr 2.03, 4 Li 2.03